Material: SrCdIn
Method: DFT, PBE-GGA
State: relaxed

Cell: 11.856 5.078 8.062 Å, 90.00 132.39 90.00°
Space group C2/m (No. 12)
Asymmetric unit:
Sr: 0.039 0.000 0.291 x4
Cd: 0.164 0.500 0.714 x4
In: 0.164 0.500 0.113 x4

Output
E	-2.196	eV/atom
formation enthalpy at 0 K	-121	kJ/mol of formula units
density	5.833	Mg/m³
crystal system	monoclinic

---

Material: Hf4Ga2C
Method: DFT, PBE-GGA
State: relaxed

Cell: 4.337 4.337 14.305 Å, 90.00 90.00 90.00°
Space group I4/mmm (No. 139)
Asymmetric unit:
Hf: 0.000 0.000 0.161 x4
Hf: 0.000 0.500 0.000 x4
Ga: 0.000 0.000 0.360 x4
C: 0.000 0.000 0.000 x2

Output
E	-8.260	eV/atom
formation enthalpy at 0 K	-263	kJ/mol of formula units
density	10.684	Mg/m³
crystal system	tetragonal

---

Material: ReSiPb2
Method: DFT, PBE-GGA
State: relaxed

Cell: 6.371 6.371 12.311 Å, 90.00 90.00 90.00°
Space group I-42d (No. 122)
Asymmetric unit:
Re: 0.000 0.000 0.000 x4
Si: 0.000 0.000 0.500 x4
Pb: 0.247 0.250 0.125 x8

Output
E	-4.906	eV/atom
density	8.356	Mg/m³
uncorrected formation energy	136.6	kJ per mole of atoms
crystal system	tetragonal

---

Material: CrMo2Rh
Method: DFT, PBE-GGA
State: relaxed

Cell: 3.319 4.201 8.329 Å, 90.00 90.00 90.00°
Space group Cmm2 (No. 35)
Asymmetric unit:
Cr: 0.000 0.000 0.000 x2
Mo: 0.000 0.000 0.480 x2
Mo: 0.000 0.500 0.753 x2
Rh: 0.000 0.500 0.222 x2

Output
E	-9.582	eV/atom
formation enthalpy at 0 K	30	kJ/mol of formula units
density	9.916	Mg/m³
crystal system	orthorhombic

---

Repeat the first record exactly.
Material: SrCdIn
Method: DFT, PBE-GGA
State: relaxed

Cell: 11.856 5.078 8.062 Å, 90.00 132.39 90.00°
Space group C2/m (No. 12)
Asymmetric unit:
Sr: 0.039 0.000 0.291 x4
Cd: 0.164 0.500 0.714 x4
In: 0.164 0.500 0.113 x4

Output
E	-2.196	eV/atom
formation enthalpy at 0 K	-121	kJ/mol of formula units
density	5.833	Mg/m³
crystal system	monoclinic

---

Q: Which of these has the highest E?
A: SrCdIn

---

Q: What is the formula in the fourth record?
A: CrMo2Rh

---

Q: The highest E belongs to which entry?
A: SrCdIn